A plane-wave DFT calculation with PBE-GGA was carried out for an optimized crystal structure of CsICl.

For the spin magnetization, the calculation gives 0.00 μB/cell. The calculation puts the density of states at the Fermi level at 0.0 states/eV/f.u. The calculation puts the raw total energy at -0.1001 hartree per atom. The energy above the most stable polymorph in this dataset is 17 meV per atom.

POSCAR file:
```
CsICl
1.0
-3.022 -2.265 -9.720
-6.160 -1.709 2.313
-2.569 8.123 -0.840
Cs I Cl
4 4 4
Cartesian
-1.457 0.903 -3.212
-4.134 4.955 -7.347
-5.822 4.110 -2.476
-5.929 0.039 -5.771
-3.718 1.240 -8.984
-1.873 4.618 -1.575
-8.082 4.447 -8.248
-3.669 -0.298 0.001
-2.473 0.177 -6.455
-3.117 5.681 -4.104
-6.838 3.384 -5.719
-4.913 0.765 -2.527
```

=====

A plane-wave DFT calculation with PBE-GGA was carried out for an optimized crystal structure of CsI3Cl9.

For the spin magnetization, the calculation gives 2.03 μB/cell. The calculation puts the density of states at the Fermi level at 0.4 states/eV/f.u. The calculation puts the raw total energy at -0.0793 hartree per atom.

POSCAR file:
```
CsI3Cl9
1.0
-0.252 4.694 7.508
-11.872 2.106 3.511
3.027 -6.918 9.652
Cs I Cl
2 6 18
Cartesian
-7.371 1.307 2.371
-0.008 -1.597 8.013
-4.733 0.114 15.396
-0.313 2.565 8.887
-8.043 -2.624 10.686
-3.675 0.802 5.737
-1.230 -2.181 12.662
-8.636 1.532 8.314
-1.203 1.373 5.997
-5.545 -2.533 10.179
-3.725 2.066 3.350
-8.170 0.072 10.591
1.423 -4.845 7.781
-6.051 0.136 5.459
-9.211 2.939 6.440
-1.851 0.102 12.190
-9.950 3.698 11.623
-2.317 -4.243 9.209
-6.878 -0.129 14.251
-2.517 3.423 9.502
-6.508 2.760 8.696
0.950 -1.921 11.495
-3.461 -2.567 13.837
1.053 -1.865 4.529
-8.128 -0.341 18.440
-3.569 -0.471 7.802
```

=====

A plane-wave DFT calculation with PBE-GGA was carried out for an optimized crystal structure of Cs4I3Cl.

For the spin magnetization, the calculation gives 0.18 μB/cell. The calculation puts the density of states at the Fermi level at 0.0 states/eV/f.u. The calculation puts the raw total energy at -0.1059 hartree per atom.

POSCAR file:
```
Cs4I3Cl
1.0
-3.570 3.939 0.798
-3.003 -0.922 -8.888
-5.054 -5.703 5.549
Cs I Cl
4 3 1
Cartesian
-1.857 -1.527 -0.770
-5.278 -0.095 -5.038
-6.200 -5.098 -2.569
-6.348 -2.591 2.497
-2.527 -2.852 2.775
-5.813 -1.343 -1.271
-1.502 -0.461 -4.444
-1.785 1.970 0.399
```

=====

A plane-wave DFT calculation with PBE-GGA was carried out for an optimized crystal structure of Cs6ICl5.

For the spin magnetization, the calculation gives 0.20 μB/cell. The calculation puts the density of states at the Fermi level at 0.0 states/eV/f.u. The calculation puts the raw total energy at -0.1181 hartree per atom.

POSCAR file:
```
Cs6ICl5
1.0
8.731 0.221 1.331
2.153 7.419 4.326
0.149 0.081 8.847
Cs I Cl
6 1 5
Cartesian
6.725 0.830 4.471
3.506 4.259 5.886
2.849 2.011 1.487
8.034 5.629 4.170
7.526 3.463 8.617
4.308 6.892 10.032
0.000 0.000 0.000
4.818 1.379 7.326
0.766 2.493 4.403
5.442 3.820 2.828
1.537 5.007 8.769
6.215 6.343 7.177
```

=====

A plane-wave DFT calculation with PBE-GGA was carried out for an optimized crystal structure of CsI2Cl2.

For the spin magnetization, the calculation gives 0.00 μB/cell. The calculation puts the density of states at the Fermi level at 3.3 states/eV/f.u. The calculation puts the raw total energy at -0.0773 hartree per atom. The energy above the most stable polymorph in this dataset is 65 meV per atom.

POSCAR file:
```
CsI2Cl2
1.0
4.911 0.000 0.000
-2.456 4.253 0.000
0.000 0.000 11.606
Cs I Cl
1 2 2
Cartesian
0.000 0.000 0.000
2.456 1.418 7.004
0.000 2.836 4.602
2.456 1.418 9.692
0.000 2.836 1.914
```

=====

A plane-wave DFT calculation with PBE-GGA was carried out for an optimized crystal structure of CsI2Cl2.

For the spin magnetization, the calculation gives 2.00 μB/cell. The calculation puts the density of states at the Fermi level at 0.0 states/eV/f.u. The calculation puts the raw total energy at -0.0794 hartree per atom. The energy above the most stable polymorph in this dataset is 7 meV per atom.

POSCAR file:
```
CsI2Cl2
1.0
9.746 0.000 0.000
0.000 9.746 0.000
0.000 0.000 4.576
Cs I Cl
2 4 4
Cartesian
0.000 0.000 0.000
4.873 4.873 0.000
0.955 5.828 2.288
5.828 8.791 2.288
8.791 3.918 2.288
3.918 0.955 2.288
2.561 7.434 0.000
7.434 7.185 0.000
7.185 2.312 0.000
2.312 2.561 0.000
```

=====

A plane-wave DFT calculation with PBE-GGA was carried out for an optimized crystal structure of Cs3ICl4.

For the spin magnetization, the calculation gives 0.28 μB/cell. The calculation puts the density of states at the Fermi level at 0.0 states/eV/f.u. The calculation puts the raw total energy at -0.1074 hartree per atom.

POSCAR file:
```
Cs3ICl4
1.0
-0.473 5.851 4.635
-6.312 -2.361 2.336
6.828 -7.809 10.556
Cs I Cl
6 2 8
Cartesian
-4.732 1.628 4.265
-3.186 -3.255 4.761
-0.025 0.863 5.921
1.537 -4.222 6.257
3.337 -2.982 11.118
0.280 -7.219 10.120
-0.995 4.949 4.305
-2.502 -3.810 9.174
-5.644 -1.156 2.795
-1.786 2.761 3.198
0.151 -2.241 3.928
-3.371 -0.049 6.835
-1.413 -5.295 7.371
2.360 -0.330 8.604
0.370 -4.327 12.618
3.238 -5.773 8.701
```

=====

A plane-wave DFT calculation with PBE-GGA was carried out for an optimized crystal structure of Cs2I2Cl.

For the spin magnetization, the calculation gives 0.00 μB/cell. The calculation puts the density of states at the Fermi level at 2.6 states/eV/f.u. The calculation puts the raw total energy at -0.0930 hartree per atom. The energy above the most stable polymorph in this dataset is 62 meV per atom.

POSCAR file:
```
Cs2I2Cl
1.0
-2.511 2.511 9.862
2.511 -2.511 9.862
2.511 2.511 -9.862
Cs I Cl
2 2 1
Cartesian
0.000 0.000 11.853
0.000 0.000 7.872
0.000 2.511 4.931
2.511 0.000 4.931
0.000 0.000 0.000
```

=====

A plane-wave DFT calculation with PBE-GGA was carried out for an optimized crystal structure of Cs2ICl4.

For the spin magnetization, the calculation gives 1.01 μB/cell. The calculation puts the density of states at the Fermi level at 2.1 states/eV/f.u. The calculation puts the raw total energy at -0.0961 hartree per atom. The energy above the most stable polymorph in this dataset is 91 meV per atom.

POSCAR file:
```
Cs2ICl4
1.0
5.631 0.000 0.000
0.000 5.631 0.000
2.816 2.816 9.028
Cs I Cl
2 1 4
Cartesian
5.631 5.631 6.485
2.816 2.816 2.543
0.000 0.000 0.000
5.631 5.631 3.052
2.816 2.816 5.975
0.000 2.816 0.000
2.816 0.000 0.000
```

=====

A plane-wave DFT calculation with PBE-GGA was carried out for an optimized crystal structure of Cs3I2Cl.

For the spin magnetization, the calculation gives 0.00 μB/cell. The calculation puts the density of states at the Fermi level at 0.0 states/eV/f.u. The calculation puts the raw total energy at -0.1075 hartree per atom. The energy above the most stable polymorph in this dataset is 0 meV per atom.

POSCAR file:
```
Cs3I2Cl
1.0
-2.333 -1.192 4.617
-1.779 -6.938 -2.690
9.094 1.171 1.846
Cs I Cl
3 2 1
Cartesian
4.938 -2.030 1.971
0.000 0.000 0.000
0.044 -4.928 1.802
1.243 -1.586 3.270
3.739 -5.372 0.503
-0.889 -3.469 -1.345
```

=====

no.,formation energy (no corrections) (meV per atom)
1,-1307
2,-456
3,-1642
4,-1887
5,-573
6,-631
7,-1486
8,-1200
9,-1095
10,-1675